[1]
This record from Alexandria via LeMat-Bulk describes Sb3IrI after structural relaxation. The functional is PBE.

Structure (POSCAR):
```
Sb3IrI
1.0
-2.494 -4.596 -0.783
4.616 -2.310 -1.147
0.656 -1.225 5.102
Sb Ir I
3 1 1
Direct
0.000 0.500 0.000
0.000 0.000 0.500
0.500 0.000 0.000
0.000 0.000 0.000
0.500 0.500 0.500
```

Values from the calculation:
formation energy (no corrections) = 0.4235 eV/atom
energy above the lowest structure with this stoichiometry = 0.000 eV per atom
final energy = -4.13 eV/atom
space group = No. 221

[2]
This record from Alexandria via LeMat-Bulk describes ScSb2IrI after structural relaxation. The functional is PBE.

Structure (POSCAR):
```
ScSb2IrI
1.0
5.469 0.000 0.000
0.000 5.469 0.000
0.000 0.000 5.339
Sb I Ir Sc
2 1 1 1
Direct
0.500 0.000 0.000
0.000 0.500 0.000
0.000 0.000 0.500
0.500 0.500 0.500
0.000 0.000 0.000
```

Values from the calculation:
formation energy (no corrections) = 1.0094 eV/atom
energy above the lowest structure with this stoichiometry = 0.623 eV per atom
final energy = -3.99 eV/atom
space group = No. 123

[3]
This record from Alexandria via LeMat-Bulk describes ScSb2IrI after structural relaxation. The functional is PBE.

Structure (POSCAR):
```
ScSb2IrI
1.0
-3.324 -2.302 -3.180
3.483 -3.652 -0.998
-1.956 -3.021 4.231
Sb Ir I Sc
2 1 1 1
Direct
0.500 0.000 0.000
0.000 0.500 0.000
0.000 0.000 0.000
0.000 0.000 0.500
0.500 0.500 0.500
```

Values from the calculation:
formation energy (no corrections) = 0.3865 eV/atom
energy above the lowest structure with this stoichiometry = 0.000 eV per atom
final energy = -4.61 eV/atom
space group = No. 123

[4]
This record from Alexandria via LeMat-Bulk describes ScSbIrI2 after structural relaxation. The functional is PBE.

Structure (POSCAR):
```
ScSbIrI2
1.0
5.452 0.000 0.000
0.000 5.452 0.000
0.000 0.000 5.939
Ir I Sc Sb
1 2 1 1
Direct
0.500 0.500 0.500
0.500 0.000 0.000
0.000 0.500 0.000
0.000 0.000 0.000
0.000 0.000 0.500
```

Values from the calculation:
formation energy (no corrections) = 0.8151 eV/atom
energy above the lowest structure with this stoichiometry = 0.421 eV per atom
final energy = -3.67 eV/atom
space group = No. 123

[5]
This record from Alexandria via LeMat-Bulk describes ScSbIrI2 after structural relaxation. The functional is PBE.

Structure (POSCAR):
```
ScSbIrI2
1.0
5.480 0.000 0.000
0.000 5.480 0.000
0.000 0.000 5.102
I Sb Sc Ir
2 1 1 1
Direct
0.500 0.000 0.000
0.000 0.500 0.000
0.000 0.000 0.500
0.500 0.500 0.500
0.000 0.000 0.000
```

Values from the calculation:
formation energy (no corrections) = 0.3937 eV/atom
energy above the lowest structure with this stoichiometry = 0.000 eV per atom
final energy = -4.09 eV/atom
space group = No. 123

[6]
This record from Alexandria via LeMat-Bulk describes Sb2IrSeI after structural relaxation. The functional is PBE.

Structure (POSCAR):
```
Sb2IrSeI
1.0
5.329 0.000 0.000
0.000 5.329 0.000
0.000 0.000 5.449
Se Sb I Ir
1 2 1 1
Direct
0.000 0.000 0.000
0.500 0.000 0.000
0.000 0.500 0.000
0.000 0.000 0.500
0.500 0.500 0.500
```

Values from the calculation:
formation energy (no corrections) = 1.4828 eV/atom
energy above the lowest structure with this stoichiometry = 0.960 eV per atom
final energy = -2.95 eV/atom
space group = No. 123